## TbAg6Au2 (PBE)

Data for an optimized crystal structure of TbAg6Au2.

Calculated values
**Total moment**: 0.00 μB per cell
**Calculated density**: 11.37 g/cm³
**V**: 175.3 Å³ per cell
**ΔH_f (0 K)**: -0.2 eV per formula unit
**SG**: C2/m (12)

Geometry as POSCAR:
```
TbAg6Au2
1.0
7.326 -4.073 0.000
7.326 4.073 0.000
-0.590 0.000 2.938
Tb Ag Au
1 6 2
direct
0.000 0.000 0.000 Tb
0.002 0.652 0.326 Ag
0.331 0.669 0.500 Ag
0.348 0.998 0.674 Ag
0.652 0.002 0.326 Ag
0.669 0.331 0.500 Ag
0.998 0.348 0.674 Ag
0.347 0.347 0.848 Au
0.653 0.653 0.152 Au
```


## NbGeMoRh (PBE)

Data for an optimized crystal structure of NbGeMoRh.

Calculated values
**Total moment**: 0.00 μB per cell
**Calculated density**: 9.67 g/cm³
**V**: 62.6 Å³ per cell
**ΔH_f (0 K)**: -0.9 eV per formula unit
**SG**: F-43m (216)

Geometry as POSCAR:
```
NbGeMoRh
1.0
0.000 3.151 3.151
3.151 0.000 3.151
3.151 3.151 0.000
Nb Ge Mo Rh
1 1 1 1
direct
0.000 0.000 0.000 Nb
0.500 0.500 0.500 Ge
0.250 0.250 0.250 Mo
0.750 0.750 0.750 Rh
```


| no. | final energy (eV/atom) |
| --- | --- |
| 1 | -3.1611 |
| 2 | -8.4423 |